Material: Pr2HfVO6
Method: DFT, GGA+U
State: relaxed

Cell lengths 5.6460, 5.8966, 9.8289 Å; angles 90.00, 124.32, 90.00 degrees
Closest atoms and distances in Å follow each position.
Space group P2_1/c (No. 14)
Inequivalent atoms, fractional coordinates:
Pr (0.2312, 0.0576, 0.2480) x4  5 O 2.37-2.64
Hf (0.5000, 0.0000, 0.0000) x2  6 O 2.08-2.09
V (0.0000, 0.0000, 0.5000) x2  6 O 2.18-2.19
O (0.1495, 0.1936, 0.9466) x4  1 Hf 2.08, 1 V 2.18
O (0.2474, 0.7084, 0.9392) x4  1 Hf 2.09, 1 V 2.18
O (0.3662, 0.0428, 0.7556) x4  1 Hf 2.09, 1 V 2.19

Summary:
Calculated volume ... 135.12 Å³/f.u.
DFT total energy ... -87.790 eV/f.u.